# 1
Here is an optimized crystal structure of Sb2OsRh from Alexandria via LeMat-Bulk. Energies are from PBE.

abc: 5.0760 5.0760 4.5999
angles: 100.05 100.05 39.31
Fractional positions:
Sb  0.0000  0.0000  0.0000
Sb  0.2474  0.2474  0.5803
Os  0.7246  0.7246  0.0922
Rh  0.5188  0.5188  0.5017

Results
Space group = No. 8
Energy relative to the elements, uncorrected = 0.17 eV per atom
ρ = 12.1 g/cm³
ΔE to the lowest computed polymorph = 0.249 eV/f.u.
Total magnetic moment = 0.000 μB/atom
D(E_F) = 3.30 states/eV/cell

=====

# 2
Here is an optimized crystal structure of SbOsRh2 from Alexandria via LeMat-Bulk. Energies are from PBE.

abc: 4.8445 4.8445 4.8445
angles: 131.56 131.56 70.92
Fractional positions:
Sb  0.0000  0.0000  0.0000
Os  0.5000  0.5000  0.0000
Rh  0.2500  0.7500  0.5000
Rh  0.7500  0.2500  0.5000

Results
Space group = No. 139
Energy relative to the elements, uncorrected = 0.13 eV per atom
ρ = 13.8 g/cm³
Total magnetic moment = 0.000 μB/atom
D(E_F) = 3.89 states/eV/cell

=====

# 3
Here is an optimized crystal structure of SbOs2Rh from Alexandria via LeMat-Bulk. Energies are from PBE.

abc: 5.5549 5.5549 5.5549
angles: 148.83 132.73 57.71
Fractional positions:
Sb  0.0000  0.0000  0.0000
Os  0.2201  0.7201  0.5000
Os  0.7799  0.2799  0.5000
Rh  0.5000  0.5000  0.0000

Results
Space group = No. 71
Energy relative to the elements, uncorrected = 0.47 eV per atom
ρ = 15.5 g/cm³
Total magnetic moment = 0.000 μB/atom
D(E_F) = 4.13 states/eV/cell

=====

# 4
Here is an optimized crystal structure of Sb2OsRh from Alexandria via LeMat-Bulk. Energies are from PBE.

abc: 3.1402 3.1402 8.2238
angles: 90.00 90.00 90.00
Fractional positions:
Sb  0.0000  0.0000  0.0000
Sb  0.5000  0.5000  0.3928
Os  0.0000  0.0000  0.5892
Rh  0.5000  0.5000  0.8056

Results
Space group = No. 99
Energy relative to the elements, uncorrected = 0.17 eV per atom
ρ = 11.0 g/cm³
ΔE to the lowest computed polymorph = 0.233 eV/f.u.
Total magnetic moment = 0.000 μB/atom
D(E_F) = 4.65 states/eV/cell